(1)
A geometry-optimized KCa2YI8 structure. Source: Alexandria, functional PBE-GGA.

```
KCa2YI8
1.0
7.215 0.000 0.000
0.000 9.625 0.000
-0.060 0.000 7.679
K Ca Y I
1 2 1 8
Direct
0.000 0.000 0.000
0.500 0.250 0.500
0.500 0.750 0.500
0.000 0.500 0.000
0.245 0.280 0.162
0.245 0.720 0.162
0.253 0.500 0.668
0.266 0.000 0.634
0.734 0.000 0.366
0.747 0.500 0.332
0.755 0.280 0.838
0.755 0.720 0.838
```

Results
DOS at the Fermi energy	0.00	states/eV/atom
formation energy from raw total energies	-1472	meV per atom
symmetry	P2/m, No. 10

***

(2)
A geometry-optimized ZnHgBr2 structure. Source: Alexandria, functional PBE-GGA.

```
ZnHgBr2
1.0
5.775 0.000 0.000
0.000 3.719 0.000
-2.085 0.000 6.260
Zn Hg Br
1 1 2
Direct
0.000 0.000 0.000
0.690 0.500 0.150
0.329 0.000 0.322
0.996 0.500 0.748
```

Results
formation energy from raw total energies	-503	meV per atom
symmetry	Pm, No. 6
energy above the lowest structure with this stoichiometry	124	meV/atom

***

(3)
A geometry-optimized AsSBrF2 structure. Source: Alexandria, functional PBE-GGA.

```
AsSBrF2
1.0
4.075 0.000 0.000
0.000 4.075 0.000
0.000 0.000 5.235
As S Br F
1 1 1 2
Direct
0.000 0.000 0.000
0.000 0.000 0.500
0.500 0.500 0.000
0.000 0.500 0.500
0.500 0.000 0.500
```

Results
DOS at the Fermi energy	0.31	states/eV/atom
formation energy from raw total energies	-388	meV per atom
symmetry	P4/mmm, No. 123

***

(4)
A geometry-optimized KBeTcAs2 structure. Source: Alexandria, functional PBE-GGA.

```
KBeTcAs2
1.0
4.842 0.000 0.000
0.000 4.842 0.000
0.000 0.000 4.588
K Be Tc As
1 1 1 2
Direct
0.000 0.000 0.000
0.500 0.500 0.000
0.500 0.500 0.500
0.000 0.500 0.500
0.500 0.000 0.500
```

Results
DOS at the Fermi energy	0.38	states/eV/atom
symmetry	P4/mmm, No. 123
DFT formation energy	88	meV/atom

***

(5)
A geometry-optimized PuMg3Pa2N6 structure. Source: Alexandria, functional PBE-GGA.

```
PuMg3Pa2N6
1.0
7.195 -1.740 0.000
7.195 1.740 0.000
-1.154 0.000 6.544
Pu Mg Pa N
1 3 2 6
Direct
0.000 0.000 0.000
0.000 0.000 0.500
0.334 0.334 0.166
0.666 0.666 0.834
0.338 0.338 0.674
0.662 0.662 0.326
0.172 0.172 0.095
0.172 0.172 0.571
0.499 0.499 0.742
0.501 0.501 0.258
0.828 0.828 0.429
0.828 0.828 0.905
```

Results
DOS at the Fermi energy	0.62	states/eV/atom
formation energy from raw total energies	-1147	meV per atom
symmetry	C2/m, No. 12

***

(6)
A geometry-optimized OsPtSe2 structure. Source: Alexandria, functional PBE-GGA.

```
OsPtSe2
1.0
-1.487 2.046 5.982
1.487 -2.046 5.982
1.487 2.046 -5.982
Os Pt Se
1 1 2
Direct
0.000 0.000 0.000
0.206 0.706 0.500
0.559 0.559 0.000
0.833 0.333 0.500
```

Results
DOS at the Fermi energy	0.66	states/eV/atom
formation energy from raw total energies	414	meV per atom
symmetry	Imm2, No. 44
energy above the lowest structure with this stoichiometry	249	meV/atom

***

(7)
A geometry-optimized NdNb4O12 structure. Source: Alexandria, functional PBE-GGA.

```
NdNb4O12
1.0
7.945 0.000 0.000
0.000 3.935 4.034
0.000 -3.935 4.034
Nd Nb O
1 4 12
Direct
0.000 0.000 0.000
0.257 0.494 0.990
0.257 0.990 0.494
0.743 0.494 0.990
0.743 0.990 0.494
0.000 0.430 0.991
0.000 0.991 0.430
0.203 0.745 0.745
0.231 0.224 0.722
0.231 0.722 0.224
0.253 0.201 0.201
0.500 0.496 0.948
0.500 0.948 0.496
0.747 0.201 0.201
0.769 0.224 0.722
0.769 0.722 0.224
0.797 0.745 0.745
```

Results
DOS at the Fermi energy	0.32	states/eV/atom
formation energy from raw total energies	-2559	meV per atom
symmetry	Amm2, No. 38

***

(8)
A geometry-optimized BaAlZn structure. Source: Alexandria, functional PBE-GGA.

```
BaAlZn
1.0
0.000 3.649 3.649
3.649 0.000 3.649
3.649 3.649 0.000
Ba Al Zn
1 1 1
Direct
0.000 0.000 0.000
0.250 0.250 0.250
0.500 0.500 0.500
```

Results
DOS at the Fermi energy	1.34	states/eV/atom
symmetry	F-43m, No. 216
energy above the lowest structure with this stoichiometry	392	meV/atom
DFT formation energy	189	meV/atom

***

Number 1: DFT total energy -3.47 eV/atom. Number 2: DFT total energy -1.73 eV/atom. Number 3: DFT total energy -3.23 eV/atom. Number 4: DFT total energy -4.81 eV/atom. Number 5: DFT total energy -8.48 eV/atom. Number 6: DFT total energy -5.65 eV/atom. Number 7: DFT total energy -8.71 eV/atom. Number 8: DFT total energy -2.12 eV/atom.